Record 1
A plane-wave DFT calculation with PBE-GGA was carried out for a relaxed structure of BeZnCuSb.

## Properties
Symmetry: F-43m (216)
Energy in eV per atom: -2.728
Polymorph energy (0 for the lowest one) in meV per atom: 53

a b c (Å): 4.5064 4.5064 4.5064
angles (deg): 60.00 60.00 60.00
Closest atoms and distances in Å follow each position.
Positions (direct):
Be (0.7500, 0.7500, 0.7500)  4 Sb 2.76, 4 Cu 2.76
Cu (0.5000, 0.5000, 0.5000)  4 Zn 2.76, 4 Be 2.76
Sb (0.0000, 0.0000, 0.0000)  4 Be 2.76, 4 Zn 2.76
Zn (0.2500, 0.2500, 0.2500)  4 Cu 2.76, 4 Sb 2.76

---

Record 2
A plane-wave DFT calculation with PBE-GGA was carried out for a relaxed structure of ScBeCu.

## Properties
Symmetry: F-43m (216)
Energy in eV per atom: -3.921
Polymorph energy (0 for the lowest one) in meV per atom: 478

a b c (Å): 4.2146 4.2146 4.2146
angles (deg): 60.00 60.00 60.00
Closest atoms and distances in Å follow each position.
Positions (direct):
Be (0.2500, 0.2500, 0.2500)  4 Sc 2.58
Cu (0.7500, 0.7500, 0.7500)  4 Sc 2.58
Sc (0.0000, 0.0000, 0.0000)  4 Be 2.58, 4 Cu 2.58

---

Record 3
A plane-wave DFT calculation with PBE-GGA was carried out for a relaxed structure of ScBe2Cu.

## Properties
Symmetry: F-43m (216)
Energy in eV per atom: -4.411

a b c (Å): 4.1464 4.1464 4.1464
angles (deg): 60.00 60.00 60.00
Closest atoms and distances in Å follow each position.
Positions (direct):
Be (0.0000, 0.0000, 0.0000)  4 Cu 2.54, 4 Be 2.54
Be (0.2500, 0.2500, 0.2500)  4 Sc 2.54, 4 Be 2.54
Cu (0.7500, 0.7500, 0.7500)  4 Sc 2.54, 4 Be 2.54
Sc (0.5000, 0.5000, 0.5000)  4 Be 2.54, 4 Cu 2.54

---

Record 4
A plane-wave DFT calculation with PBE-GGA was carried out for a relaxed structure of ScBe6Cu6.

## Properties
Symmetry: Immm (71)
Energy in eV per atom: -4.094

a b c (Å): 6.0201 6.0201 6.0201
angles (deg): 137.13 97.85 97.50
Closest atoms and distances in Å follow each position.
Positions (direct):
Be (0.5000, 0.0000, 0.0000)  4 Be 2.20-2.27, 6 Cu 2.31-2.40
Be (0.0000, 0.5000, 0.0000)  4 Be 2.20-2.27, 6 Cu 2.31-2.40
Be (0.0000, 0.0000, 0.5000)  4 Be 2.20-2.27, 6 Cu 2.31-2.40
Be (0.7662, 0.2662, 0.5000)  4 Be 2.27, 6 Cu 2.38-2.43
Be (0.5000, 0.5000, 0.5000)  4 Be 2.20-2.27, 6 Cu 2.31-2.40
Be (0.2338, 0.7338, 0.5000)  4 Be 2.27, 6 Cu 2.38-2.43
Cu (0.3476, 0.3476, 0.0000)  6 Be 2.38-2.39, 1 Cu 2.42
Cu (0.6524, 0.6524, 0.0000)  6 Be 2.38-2.39, 1 Cu 2.42
Cu (0.8045, 0.5000, 0.3045)  6 Be 2.31-2.42, 2 Cu 2.51
Cu (0.3488, 0.0000, 0.3488)  3 Cu 2.39-2.51, 6 Be 2.40-2.43
Cu (0.6512, 0.0000, 0.6512)  3 Cu 2.39-2.51, 6 Be 2.40-2.43
Cu (0.1955, 0.5000, 0.6955)  6 Be 2.31-2.42, 2 Cu 2.51
Sc (0.0000, 0.0000, 0.0000)  8 Cu 2.69-2.76, 12 Be 2.88-3.01

---

Record 5
A plane-wave DFT calculation with PBE-GGA was carried out for a relaxed structure of ScBeCu.

## Properties
Symmetry: F-43m (216)
Energy in eV per atom: -4.399
Polymorph energy (0 for the lowest one) in meV per atom: 0

a b c (Å): 4.1122 4.1122 4.1122
angles (deg): 60.00 60.00 60.00
Closest atoms and distances in Å follow each position.
Positions (direct):
Be (0.2500, 0.2500, 0.2500)  4 Cu 2.52
Cu (0.0000, 0.0000, 0.0000)  4 Sc 2.52, 4 Be 2.52
Sc (0.7500, 0.7500, 0.7500)  4 Cu 2.52

---

Record 6
A plane-wave DFT calculation with PBE-GGA was carried out for a relaxed structure of BeCu5Si2.

## Properties
Symmetry: P4/mmm (123)
Energy in eV per atom: -4.124

a b c (Å): 4.0122 4.0122 5.6560
angles (deg): 90.00 90.00 90.00
Closest atoms and distances in Å follow each position.
Positions (direct):
Be (0.0000, 0.0000, 0.5000)  8 Cu 2.41
Cu (0.5000, 0.5000, 0.0000)  8 Cu 2.50
Cu (0.5000, 0.0000, 0.2633)  2 Be 2.41, 4 Si 2.41-2.50, 3 Cu 2.50-2.68
Cu (0.0000, 0.5000, 0.2633)  2 Be 2.41, 4 Si 2.41-2.50, 3 Cu 2.50-2.68
Cu (0.5000, 0.0000, 0.7367)  4 Si 2.41-2.50, 2 Be 2.41, 3 Cu 2.50-2.68
Cu (0.0000, 0.5000, 0.7367)  2 Be 2.41, 4 Si 2.41-2.50, 3 Cu 2.50-2.68
Si (0.0000, 0.0000, 0.0000)  8 Cu 2.50
Si (0.5000, 0.5000, 0.5000)  8 Cu 2.41

---

Record 7
A plane-wave DFT calculation with PBE-GGA was carried out for a relaxed structure of BeCu5Si2.

## Properties
Symmetry: P4/mmm (123)
Energy in eV per atom: -4.124

a b c (Å): 4.0122 4.0122 5.6560
angles (deg): 90.00 90.00 90.00
Closest atoms and distances in Å follow each position.
Positions (direct):
Be (0.5000, 0.5000, 0.0000)  8 Cu 2.41
Cu (0.5000, 0.0000, 0.2367)  4 Si 2.41-2.50, 2 Be 2.41, 3 Cu 2.50-2.68
Cu (0.0000, 0.5000, 0.2367)  4 Si 2.41-2.50, 2 Be 2.41, 3 Cu 2.50-2.68
Cu (0.0000, 0.0000, 0.5000)  8 Cu 2.50
Cu (0.5000, 0.0000, 0.7633)  2 Be 2.41, 4 Si 2.41-2.50, 3 Cu 2.50-2.68
Cu (0.0000, 0.5000, 0.7633)  2 Be 2.41, 4 Si 2.41-2.50, 3 Cu 2.50-2.68
Si (0.0000, 0.0000, 0.0000)  8 Cu 2.41
Si (0.5000, 0.5000, 0.5000)  8 Cu 2.50

---

Record 8
A plane-wave DFT calculation with PBE-GGA was carried out for a relaxed structure of Tb2BeCuSi2.

## Properties
Symmetry: P-6m2 (187)
Energy in eV per atom: -5.223

a b c (Å): 3.9636 3.9636 8.0977
angles (deg): 90.00 90.00 120.00
Closest atoms and distances in Å follow each position.
Positions (direct):
Be (0.6667, 0.3333, 0.0000)  3 Si 2.29
Cu (0.3333, 0.6667, 0.5000)  3 Si 2.29
Si (0.3333, 0.6667, 0.0000)  3 Be 2.29
Si (0.6667, 0.3333, 0.5000)  3 Cu 2.29
Tb (0.0000, 0.0000, 0.2494)  6 Si 3.05-3.06, 3 Be 3.05, 3 Cu 3.06
Tb (0.0000, 0.0000, 0.7506)  6 Si 3.05-3.06, 3 Be 3.05, 3 Cu 3.06

---

Record 9
A plane-wave DFT calculation with PBE-GGA was carried out for a relaxed structure of Tm2BeCuSi2.

## Properties
Symmetry: P-6m2 (187)
Energy in eV per atom: -5.151

a b c (Å): 3.9935 3.9935 7.5808
angles (deg): 90.00 90.00 120.00
Closest atoms and distances in Å follow each position.
Positions (direct):
Be (0.0000, 0.0000, 0.5000)  3 Si 2.31
Cu (0.3333, 0.6667, 0.0000)  3 Si 2.31
Si (0.0000, 0.0000, 0.0000)  3 Cu 2.31
Si (0.3333, 0.6667, 0.5000)  3 Be 2.31
Tm (0.6667, 0.3333, 0.2442)  3 Cu 2.96, 6 Si 2.96-3.01, 3 Be 3.01
Tm (0.6667, 0.3333, 0.7558)  3 Cu 2.96, 6 Si 2.96-3.01, 3 Be 3.01

---

Record 10
A plane-wave DFT calculation with PBE-GGA was carried out for a relaxed structure of Y2BeCuSi2.

## Properties
Symmetry: P-6m2 (187)
Energy in eV per atom: -5.850

a b c (Å): 3.9641 3.9641 8.0512
angles (deg): 90.00 90.00 120.00
Closest atoms and distances in Å follow each position.
Positions (direct):
Be (0.0000, 0.0000, 0.0000)  3 Si 2.29
Cu (0.3333, 0.6667, 0.5000)  3 Si 2.29
Si (0.3333, 0.6667, 0.0000)  3 Be 2.29
Si (0.0000, 0.0000, 0.5000)  3 Cu 2.29
Y (0.6667, 0.3333, 0.2498)  6 Si 3.05, 3 Be 3.05, 3 Cu 3.05
Y (0.6667, 0.3333, 0.7502)  6 Si 3.05, 3 Be 3.05, 3 Cu 3.05

---

Record 11
A plane-wave DFT calculation with PBE-GGA was carried out for a relaxed structure of BeZnCu4Si2.

## Properties
Symmetry: P4/mmm (123)
Energy in eV per atom: -3.748

a b c (Å): 3.9750 3.9750 6.0496
angles (deg): 90.00 90.00 90.00
Closest atoms and distances in Å follow each position.
Positions (direct):
Be (0.5000, 0.5000, 0.0000)  8 Cu 2.43
Cu (0.5000, 0.0000, 0.2316)  4 Si 2.43-2.57, 2 Be 2.43, 2 Zn 2.57
Cu (0.0000, 0.5000, 0.2316)  2 Be 2.43, 4 Si 2.43-2.57, 2 Zn 2.57
Cu (0.5000, 0.0000, 0.7684)  4 Si 2.43-2.57, 2 Be 2.43, 2 Zn 2.57
Cu (0.0000, 0.5000, 0.7684)  4 Si 2.43-2.57, 2 Be 2.43, 2 Zn 2.57
Si (0.0000, 0.0000, 0.0000)  8 Cu 2.43
Si (0.5000, 0.5000, 0.5000)  8 Cu 2.57, 4 Zn 2.81
Zn (0.0000, 0.0000, 0.5000)  8 Cu 2.57, 4 Si 2.81

---

Record 12
A plane-wave DFT calculation with PBE-GGA was carried out for a relaxed structure of BeZnCuSi.

## Properties
Symmetry: F-43m (216)
Energy in eV per atom: -3.212
Polymorph energy (0 for the lowest one) in meV per atom: 0

a b c (Å): 4.1313 4.1313 4.1313
angles (deg): 60.00 60.00 60.00
Closest atoms and distances in Å follow each position.
Positions (direct):
Be (0.5000, 0.5000, 0.5000)  4 Si 2.53, 4 Zn 2.53
Cu (0.0000, 0.0000, 0.0000)  4 Zn 2.53, 4 Si 2.53
Si (0.2500, 0.2500, 0.2500)  4 Be 2.53, 4 Cu 2.53
Zn (0.7500, 0.7500, 0.7500)  4 Cu 2.53, 4 Be 2.53

---

Record 13
A plane-wave DFT calculation with PBE-GGA was carried out for a relaxed structure of BeZnCuSi.

## Properties
Symmetry: F-43m (216)
Energy in eV per atom: -3.176
Polymorph energy (0 for the lowest one) in meV per atom: 36

a b c (Å): 4.1513 4.1513 4.1513
angles (deg): 60.00 60.00 60.00
Closest atoms and distances in Å follow each position.
Positions (direct):
Be (0.5000, 0.5000, 0.5000)  4 Cu 2.54, 4 Zn 2.54
Cu (0.2500, 0.2500, 0.2500)  4 Be 2.54, 4 Si 2.54
Si (0.0000, 0.0000, 0.0000)  4 Cu 2.54, 4 Zn 2.54
Zn (0.7500, 0.7500, 0.7500)  4 Be 2.54, 4 Si 2.54

---

Record 14
A plane-wave DFT calculation with PBE-GGA was carried out for a relaxed structure of SmBe3Cu2.

## Properties
Symmetry: P6/mmm (191)
Energy in eV per atom: -4.006

a b c (Å): 4.8975 4.8975 3.8312
angles (deg): 90.00 90.00 120.00
Closest atoms and distances in Å follow each position.
Positions (direct):
Be (0.5000, 0.0000, 0.5000)  4 Cu 2.38, 4 Be 2.45
Be (0.0000, 0.5000, 0.5000)  4 Cu 2.38, 4 Be 2.45
Be (0.5000, 0.5000, 0.5000)  4 Cu 2.38, 4 Be 2.45
Cu (0.6667, 0.3333, 0.0000)  6 Be 2.38
Cu (0.3333, 0.6667, 0.0000)  6 Be 2.38
Sm (0.0000, 0.0000, 0.0000)  6 Cu 2.83, 12 Be 3.11

---

Record 15
A plane-wave DFT calculation with PBE-GGA was carried out for a relaxed structure of SmBeCu.

## Properties
Symmetry: F-43m (216)
Energy in eV per atom: -3.793
Polymorph energy (0 for the lowest one) in meV per atom: 0

a b c (Å): 4.4003 4.4003 4.4003
angles (deg): 60.00 60.00 60.00
Closest atoms and distances in Å follow each position.
Positions (direct):
Be (0.2500, 0.2500, 0.2500)  4 Cu 2.69
Cu (0.0000, 0.0000, 0.0000)  4 Be 2.69, 4 Sm 2.69
Sm (0.7500, 0.7500, 0.7500)  4 Cu 2.69

---

Record 16
A plane-wave DFT calculation with PBE-GGA was carried out for a relaxed structure of SmBeCu.

## Properties
Symmetry: F-43m (216)
Energy in eV per atom: -3.316
Polymorph energy (0 for the lowest one) in meV per atom: 477

a b c (Å): 4.5346 4.5346 4.5346
angles (deg): 60.00 60.00 60.00
Closest atoms and distances in Å follow each position.
Positions (direct):
Be (0.2500, 0.2500, 0.2500)  4 Sm 2.78
Cu (0.7500, 0.7500, 0.7500)  4 Sm 2.78
Sm (0.0000, 0.0000, 0.0000)  4 Cu 2.78, 4 Be 2.78

---

Record 17
A plane-wave DFT calculation with PBE-GGA was carried out for a relaxed structure of SmBe2Cu3.

## Properties
Symmetry: P6/mmm (191)
Energy in eV per atom: -4.029

a b c (Å): 5.0962 5.0962 3.6468
angles (deg): 90.00 90.00 120.00
Closest atoms and distances in Å follow each position.
Positions (direct):
Be (0.6667, 0.3333, 0.0000)  6 Cu 2.34
Be (0.3333, 0.6667, 0.0000)  6 Cu 2.34
Cu (0.5000, 0.0000, 0.5000)  4 Be 2.34, 4 Cu 2.55
Cu (0.0000, 0.5000, 0.5000)  4 Be 2.34, 4 Cu 2.55
Cu (0.5000, 0.5000, 0.5000)  4 Be 2.34, 4 Cu 2.55
Sm (0.0000, 0.0000, 0.0000)  6 Be 2.94, 12 Cu 3.13

---

Record 18
A plane-wave DFT calculation with PBE-GGA was carried out for a relaxed structure of BeCu5Sn2.

## Properties
Symmetry: P4/mmm (123)
Energy in eV per atom: -3.632

a b c (Å): 4.3131 4.3131 6.0470
angles (deg): 90.00 90.00 90.00
Closest atoms and distances in Å follow each position.
Positions (direct):
Be (0.0000, 0.0000, 0.5000)  8 Cu 2.60
Cu (0.5000, 0.5000, 0.0000)  8 Cu 2.66
Cu (0.5000, 0.0000, 0.2587)  4 Sn 2.60-2.66, 2 Be 2.60, 2 Cu 2.66
Cu (0.0000, 0.5000, 0.2587)  4 Sn 2.60-2.66, 2 Be 2.60, 2 Cu 2.66
Cu (0.5000, 0.0000, 0.7413)  4 Sn 2.60-2.66, 2 Be 2.60, 2 Cu 2.66
Cu (0.0000, 0.5000, 0.7413)  4 Sn 2.60-2.66, 2 Be 2.60, 2 Cu 2.66
Sn (0.0000, 0.0000, 0.0000)  8 Cu 2.66
Sn (0.5000, 0.5000, 0.5000)  8 Cu 2.60

---

Record 19
A plane-wave DFT calculation with PBE-GGA was carried out for a relaxed structure of BeCu5Sn2.

## Properties
Symmetry: P4/mmm (123)
Energy in eV per atom: -3.632

a b c (Å): 4.3130 4.3130 6.0470
angles (deg): 90.00 90.00 90.00
Closest atoms and distances in Å follow each position.
Positions (direct):
Be (0.5000, 0.5000, 0.0000)  8 Cu 2.60
Cu (0.5000, 0.0000, 0.2413)  4 Sn 2.60-2.66, 2 Be 2.60, 2 Cu 2.66
Cu (0.0000, 0.5000, 0.2413)  4 Sn 2.60-2.66, 2 Be 2.60, 2 Cu 2.66
Cu (0.0000, 0.0000, 0.5000)  8 Cu 2.66
Cu (0.5000, 0.0000, 0.7587)  4 Sn 2.60-2.66, 2 Be 2.60, 2 Cu 2.66
Cu (0.0000, 0.5000, 0.7587)  4 Sn 2.60-2.66, 2 Be 2.60, 2 Cu 2.66
Sn (0.0000, 0.0000, 0.0000)  8 Cu 2.60
Sn (0.5000, 0.5000, 0.5000)  8 Cu 2.66

---

Record 20
A plane-wave DFT calculation with PBE-GGA was carried out for a relaxed structure of Be2CuSn.

## Properties
Symmetry: F-43m (216)
Energy in eV per atom: -3.232

a b c (Å): 4.2901 4.2901 4.2901
angles (deg): 60.00 60.00 60.00
Closest atoms and distances in Å follow each position.
Positions (direct):
Be (0.5000, 0.5000, 0.5000)  4 Sn 2.63, 4 Be 2.63
Be (0.7500, 0.7500, 0.7500)  4 Be 2.63, 4 Cu 2.63
Cu (0.0000, 0.0000, 0.0000)  4 Sn 2.63, 4 Be 2.63
Sn (0.2500, 0.2500, 0.2500)  4 Be 2.63, 4 Cu 2.63